Density functional theory data (GGA+U) for crystalline PmB4Mo3O12 at its relaxed geometry.

Unit cell a=6.3455 b=6.3455 c=6.3455 alpha=102.95 beta=102.95 gamma=102.95
Sites, in units of the cell vectors:
Pm 0.0000 0.0000 0.0000
B 0.9503 0.0497 0.5000
B 0.0497 0.5000 0.9503
B 0.5000 0.9503 0.0497
B 0.5000 0.5000 0.5000
Mo 0.5479 0.4521 0.0000
Mo 0.4521 0.0000 0.5479
Mo 0.0000 0.5479 0.4521
O 0.5000 0.3609 0.6391
O 0.9095 0.5000 0.0905
O 0.0905 0.9095 0.5000
O 0.5000 0.0905 0.9095
O 0.3649 0.9665 0.1918
O 0.1918 0.3649 0.9665
O 0.9665 0.1918 0.3649
O 0.6351 0.8082 0.0335
O 0.0335 0.6351 0.8082
O 0.8082 0.0335 0.6351
O 0.6391 0.5000 0.3609
O 0.3609 0.6391 0.5000

Total magnetization ... 9.00 μB/f.u.
Calculated total energy ... -7.935 eV/atom